## LiHoZnSn (PBE)

Data for a relaxed LiHoZnSn crystal.

The structure in extended XYZ format:
```
4
Lattice="4.973 0.000 0.000 2.486 4.307 0.000 2.486 1.436 4.060" Properties=species:S:1:pos:R:3 pbc="T T T"
Zn 0.000 0.000 0.000
Sn 4.973 2.871 2.030
Li 2.486 1.436 1.015
Ho 7.459 4.307 3.045
```

Summary:
DFT formation energy (meV per atom): -422
E (eV per atom): -3.36
Space group: F-43m
D(E_F) (states/eV/cell): 1.1
ρ (Mg/m³): 6.8
Calculated volume (A^3/atom): 21.741
Total magnetic moment (Bohr magnetons per cell): 0.0

## Tm5InRu (PBE)

Data for a relaxed Tm5InRu crystal.

The structure in extended XYZ format:
```
14
Lattice="5.818 -0.373 -0.008 1.492 5.636 -0.008 2.653 1.910 11.236" Properties=species:S:1:pos:R:3 pbc="T T T"
Tm 6.321 6.089 10.480
Tm 3.530 7.002 8.419
Tm 6.454 3.108 4.862
Tm 3.510 4.065 6.358
Tm 6.426 6.147 6.988
Tm 3.642 1.084 0.740
Tm 6.433 0.171 2.801
Tm 3.422 3.985 9.850
Tm 6.542 3.188 1.370
Tm 3.538 1.026 4.232
In 6.085 3.452 8.419
In 3.878 3.721 2.801
Ru 1.326 0.955 5.618
Ru 0.000 0.000 0.000
```

Summary:
DFT formation energy (meV per atom): -175
E (eV per atom): -5.09
Space group: C2/c
D(E_F) (states/eV/cell): 13.0
ρ (Mg/m³): 9.4
Calculated volume (A^3/atom): 26.777
Total magnetic moment (Bohr magnetons per cell): 0.0

## CdHgP2 (PBE)

Data for a relaxed CdHgP2 crystal.

The structure in extended XYZ format:
```
4
Lattice="-2.631 5.289 4.594 -3.679 0.646 6.485 5.443 -2.478 -4.499" Properties=species:S:1:pos:R:3 pbc="T T T"
P -0.665 3.354 3.684
P -5.888 5.538 10.338
Cd -3.411 3.208 5.988
Hg -0.368 0.260 3.187
```

Summary:
DFT formation energy (meV per atom): 171
E (eV per atom): -2.84
Space group: Imm2
D(E_F) (states/eV/cell): 1.3
ρ (Mg/m³): 6.9
Calculated volume (A^3/atom): 22.557
Relative energy among the computed polymorphs (meV/atom): 122
Total magnetic moment (Bohr magnetons per cell): 0.0